Record 1
# Zr2ReSb (PBE-GGA, relaxed)
data_Zr2ReSb
_cell_length_a 3.633
_cell_length_b 3.633
_cell_length_c 6.141
_cell_angle_alpha 90.00
_cell_angle_beta 90.00
_cell_angle_gamma 90.00
_space_group_name_H-M_alt 'P 4 m m'
_space_group_IT_number 99
loop_
_space_group_symop_operation_xyz
'x,y,z'
'-y,x,z'
'-x,-y,z'
'y,-x,z'
'-x,y,z'
'y,x,z'
'x,-y,z'
'-y,-x,z'
loop_
_atom_site_label
_atom_site_fract_x
_atom_site_fract_y
_atom_site_fract_z
Zr1 0.000 0.000 0.000
Zr2 0.500 0.500 0.274
Re1 0.000 0.000 0.493
Sb1 0.500 0.500 0.757
# E_tot ... -0.6218 Ry/atom
# Calculated volume ... 20.26 Å³ per atom
# Formation energy from raw total energies ... -0.044 eV/atom


Record 2
# ZrReSb2 (PBE-GGA, relaxed)
data_ZrReSb2
_cell_length_a 3.317
_cell_length_b 4.243
_cell_length_c 12.226
_cell_angle_alpha 90.00
_cell_angle_beta 90.00
_cell_angle_gamma 90.00
_space_group_name_H-M_alt 'I m m 2'
_space_group_IT_number 44
loop_
_space_group_symop_operation_xyz
'x,y,z'
'-x,-y,z'
'-x,y,z'
'x,-y,z'
'x+1/2,y+1/2,z+1/2'
'-x+1/2,-y+1/2,z+1/2'
'-x+1/2,y+1/2,z+1/2'
'x+1/2,-y+1/2,z+1/2'
loop_
_atom_site_label
_atom_site_fract_x
_atom_site_fract_y
_atom_site_fract_z
Zr1 0.000 0.000 0.000
Re1 0.000 0.500 0.723
Sb1 0.000 0.000 0.400
Sb2 0.000 0.500 0.166
# E_tot ... -0.5391 Ry/atom
# Calculated volume ... 21.51 Å³ per atom
# E above lowest polymorph ... 0.057 eV/atom
# Formation energy from raw total energies ... -0.024 eV/atom


Record 3
# Zr2ReSb (PBE-GGA, relaxed)
data_Zr2ReSb
_cell_length_a 3.408
_cell_length_b 4.641
_cell_length_c 10.329
_cell_angle_alpha 90.00
_cell_angle_beta 90.00
_cell_angle_gamma 90.00
_space_group_name_H-M_alt 'I m m 2'
_space_group_IT_number 44
loop_
_space_group_symop_operation_xyz
'x,y,z'
'-x,-y,z'
'-x,y,z'
'x,-y,z'
'x+1/2,y+1/2,z+1/2'
'-x+1/2,-y+1/2,z+1/2'
'-x+1/2,y+1/2,z+1/2'
'x+1/2,-y+1/2,z+1/2'
loop_
_atom_site_label
_atom_site_fract_x
_atom_site_fract_y
_atom_site_fract_z
Zr1 0.000 0.000 0.000
Zr2 0.000 0.500 0.228
Re1 0.000 0.500 0.718
Sb1 0.000 0.000 0.438
# E_tot ... -0.6364 Ry/atom
# Calculated volume ... 20.42 Å³ per atom
# Formation energy from raw total energies ... -0.242 eV/atom


Record 4
# ZrReSb2 (PBE-GGA, relaxed)
data_ZrReSb2
_cell_length_a 9.948
_cell_length_b 3.383
_cell_length_c 5.158
_cell_angle_alpha 90.00
_cell_angle_beta 108.78
_cell_angle_gamma 90.00
_space_group_name_H-M_alt 'C 1 m 1'
_space_group_IT_number 8
loop_
_space_group_symop_operation_xyz
'x,y,z'
'x,-y,z'
'x+1/2,y+1/2,z'
'x+1/2,-y+1/2,z'
loop_
_atom_site_label
_atom_site_fract_x
_atom_site_fract_y
_atom_site_fract_z
Zr1 0.000 0.000 0.000
Re1 0.232 0.500 0.362
Sb1 0.243 0.000 0.815
Sb2 0.466 0.000 0.478
# E_tot ... -0.5382 Ry/atom
# Calculated volume ... 20.55 Å³ per atom
# E above lowest polymorph ... 0.069 eV/atom
# Formation energy from raw total energies ... -0.012 eV/atom


Record 5
# Zr2ReSb (PBE-GGA, relaxed)
data_Zr2ReSb
_cell_length_a 4.409
_cell_length_b 4.409
_cell_length_c 8.179
_cell_angle_alpha 90.00
_cell_angle_beta 90.00
_cell_angle_gamma 90.00
_space_group_name_H-M_alt 'I 4/m m m'
_space_group_IT_number 139
_space_group_name_Hall '-I 4 2'
loop_
_atom_site_label
_atom_site_fract_x
_atom_site_fract_y
_atom_site_fract_z
Zr1 0.000 0.500 0.250
Re1 0.000 0.000 0.000
Sb1 0.000 0.000 0.500
# E_tot ... -0.6329 Ry/atom
# Calculated volume ... 19.87 Å³ per atom
# Formation energy from raw total energies ... -0.194 eV/atom


Record 6
# ZrReSb (PBE-GGA, relaxed)
data_ZrReSb
_cell_length_a 3.305
_cell_length_b 3.305
_cell_length_c 10.815
_cell_angle_alpha 90.00
_cell_angle_beta 90.00
_cell_angle_gamma 90.00
_space_group_name_H-M_alt 'I 4 m m'
_space_group_IT_number 107
_space_group_name_Hall 'I 4 -2'
loop_
_atom_site_label
_atom_site_fract_x
_atom_site_fract_y
_atom_site_fract_z
Zr1 0.000 0.000 0.000
Re1 0.000 0.000 0.343
Sb1 0.000 0.000 0.704
# E_tot ... -0.6158 Ry/atom
# Calculated volume ... 19.69 Å³ per atom
# E above lowest polymorph ... 0.031 eV/atom
# Formation energy from raw total energies ... -0.006 eV/atom


Record 7
# ZrReSb (PBE-GGA, relaxed)
data_ZrReSb
_cell_length_a 6.527
_cell_length_b 6.527
_cell_length_c 6.527
_cell_angle_alpha 90.00
_cell_angle_beta 90.00
_cell_angle_gamma 90.00
_space_group_name_H-M_alt 'F -4 3 m'
_space_group_IT_number 216
_space_group_name_Hall 'F -4 2 3'
loop_
_atom_site_label
_atom_site_fract_x
_atom_site_fract_y
_atom_site_fract_z
Zr1 0.000 0.000 0.000
Re1 0.250 0.250 0.250
Sb1 0.250 0.250 0.750
# E_tot ... -0.5717 Ry/atom
# Calculated volume ... 23.17 Å³ per atom
# E above lowest polymorph ... 0.631 eV/atom
# Formation energy from raw total energies ... 0.594 eV/atom


Record 8
# Zr2ReSb (PBE-GGA, relaxed)
data_Zr2ReSb
_cell_length_a 4.118
_cell_length_b 4.118
_cell_length_c 9.425
_cell_angle_alpha 90.00
_cell_angle_beta 90.00
_cell_angle_gamma 90.00
_space_group_name_H-M_alt 'I -4 m 2'
_space_group_IT_number 119
_space_group_name_Hall 'I -4 -2'
loop_
_atom_site_label
_atom_site_fract_x
_atom_site_fract_y
_atom_site_fract_z
Zr1 0.000 0.000 0.000
Zr2 0.000 0.500 0.250
Re1 0.000 0.500 0.750
Sb1 0.000 0.000 0.500
# E_tot ... -0.6291 Ry/atom
# Calculated volume ... 19.97 Å³ per atom
# Formation energy from raw total energies ... -0.143 eV/atom


Record 9
# ZrReSb2 (PBE-GGA, relaxed)
data_ZrReSb2
_cell_length_a 6.940
_cell_length_b 6.940
_cell_length_c 6.940
_cell_angle_alpha 90.00
_cell_angle_beta 90.00
_cell_angle_gamma 90.00
_space_group_name_H-M_alt 'F -4 3 m'
_space_group_IT_number 216
_space_group_name_Hall 'F -4 2 3'
loop_
_atom_site_label
_atom_site_fract_x
_atom_site_fract_y
_atom_site_fract_z
Zr1 0.000 0.000 0.000
Re1 0.250 0.250 0.750
Sb1 0.000 0.000 0.500
Sb2 0.250 0.250 0.250
# E_tot ... -0.5136 Ry/atom
# Calculated volume ... 20.89 Å³ per atom
# E above lowest polymorph ... 0.404 eV/atom
# Formation energy from raw total energies ... 0.323 eV/atom


Record 10
# ZrReSb (PBE-GGA, relaxed)
data_ZrReSb
_cell_length_a 6.432
_cell_length_b 6.432
_cell_length_c 6.432
_cell_angle_alpha 90.00
_cell_angle_beta 90.00
_cell_angle_gamma 90.00
_space_group_name_H-M_alt 'F -4 3 m'
_space_group_IT_number 216
_space_group_name_Hall 'F -4 2 3'
loop_
_atom_site_label
_atom_site_fract_x
_atom_site_fract_y
_atom_site_fract_z
Zr1 0.000 0.000 0.000
Re1 0.250 0.250 0.750
Sb1 0.000 0.000 0.500
# E_tot ... -0.6107 Ry/atom
# Calculated volume ... 22.17 Å³ per atom
# E above lowest polymorph ... 0.101 eV/atom
# Formation energy from raw total energies ... 0.064 eV/atom


Record 11
# Zr2ReSb (PBE-GGA, relaxed)
data_Zr2ReSb
_cell_length_a 4.449
_cell_length_b 4.837
_cell_length_c 7.846
_cell_angle_alpha 90.00
_cell_angle_beta 90.00
_cell_angle_gamma 90.00
_space_group_name_H-M_alt 'C m m m'
_space_group_IT_number 65
_space_group_name_Hall '-C 2 2'
loop_
_atom_site_label
_atom_site_fract_x
_atom_site_fract_y
_atom_site_fract_z
Zr1 0.000 0.000 0.208
Re1 0.000 0.500 0.000
Sb1 0.000 0.500 0.500
# E_tot ... -0.6386 Ry/atom
# Calculated volume ... 21.11 Å³ per atom
# Formation energy from raw total energies ... -0.271 eV/atom


Record 12
# Zr2ReSb2 (PBE-GGA, relaxed)
data_Zr2ReSb2
_cell_length_a 6.879
_cell_length_b 6.879
_cell_length_c 4.501
_cell_angle_alpha 90.00
_cell_angle_beta 90.00
_cell_angle_gamma 90.00
_space_group_name_H-M_alt 'P 4/m b m'
_space_group_IT_number 127
_space_group_name_Hall '-P 4 2ab'
loop_
_atom_site_label
_atom_site_fract_x
_atom_site_fract_y
_atom_site_fract_z
Zr1 0.162 0.338 0.000
Re1 0.000 0.000 0.500
Sb1 0.148 0.648 0.500
# E_tot ... -0.5642 Ry/atom
# Calculated volume ... 21.30 Å³ per atom
# Formation energy from raw total energies ... -0.119 eV/atom


Question: Which formula does entry 6 have?
Answer: ZrReSb